No. 1
ZnTeW2: optimized geometry, GGA-PBE.

Calculated values
- Crystal system: tetragonal
- Energy relative to the elements, uncorrected: 0.7098 eV per atom
- DFT total energy: -6.8707 eV/atom
- Energy relative to the lowest polymorph listed for this composition: 291 meV per atom

a b c (Å): 3.344 3.344 6.182
angles (deg): 90.00 90.00 90.00
Element x y z (fractional)
Zn (0.000, 0.000, 0.000)
Te (0.000, 0.000, 0.500)
W (0.500, 0.500, 0.209)
W (0.500, 0.500, 0.791)


No. 2
ZnTe2W: optimized geometry, GGA-PBE.

Calculated values
- Crystal system: orthorhombic
- Energy relative to the elements, uncorrected: 0.6172 eV per atom
- DFT total energy: -4.5104 eV/atom

a b c (Å): 3.164 3.164 10.466
angles (deg): 90.00 90.00 115.38
Element x y z (fractional)
Zn (0.000, 0.000, 0.000)
Te (0.500, 0.500, 0.289)
Te (0.500, 0.500, 0.711)
W (0.000, 0.000, 0.500)


No. 3
ZnTeW3: optimized geometry, GGA-PBE.

Calculated values
- Crystal system: cubic
- Energy relative to the elements, uncorrected: 2.0347 eV per atom
- DFT total energy: -6.6203 eV/atom
- Energy relative to the lowest polymorph listed for this composition: 0 meV per atom

a b c (Å): 4.636 4.636 4.636
angles (deg): 90.00 90.00 90.00
Element x y z (fractional)
Zn (0.000, 0.000, 0.000)
Te (0.500, 0.500, 0.500)
W (0.000, 0.000, 0.500)
W (0.000, 0.500, 0.000)
W (0.500, 0.000, 0.000)


No. 4
ZnTe2W: optimized geometry, GGA-PBE.

Calculated values
- Crystal system: orthorhombic
- Energy relative to the elements, uncorrected: 0.7695 eV per atom
- DFT total energy: -4.3582 eV/atom

a b c (Å): 5.626 5.626 5.626
angles (deg): 143.96 112.16 79.30
Element x y z (fractional)
Zn (0.000, 0.000, 0.000)
Te (0.261, 0.761, 0.500)
Te (0.739, 0.239, 0.500)
W (0.500, 0.500, 0.000)


For each record above, in turn, the calculated total moment values are 0.0; 0.0; 0.0; 0.3 μB/cell.